A geometry-optimized Sm14ZrSc structure, computed with PBE.

It has space group P4/mmm (No. 123), with a = 7.151 Å, b = 7.151 Å, c = 10.095 Å, α = 90.00°, β = 90.00° and γ = 90.00°. Symmetry generates all atoms from Sm at (0.000, 0.000, 0.000), Sm at (0.000, 0.500, 0.000), Sm at (0.000, 0.500, 0.500), Sm at (0.247, 0.247, 0.259), Sm at (0.500, 0.500, 0.000), Zr at (0.000, 0.000, 0.500) and Sc at (0.500, 0.500, 0.500).

For the magnetic moment, the calculation gives 0.00 μB/cell. The value obtained for the density of states at the Fermi level is 22.57 states/eV/cell. The formation energy is 0.049 eV per atom. As for the raw total energy: -80.2 eV per cell.